# 1
MnP4W | GGA-PBEsol | relaxed

Computed properties:
The value obtained for the magnetic moment is 2.89 μB/cell. The total energy comes out at -0.5189 Ry per atom. Its symmetry is F-43m, No. 216. The crystal system is cubic. The value obtained for the formation energy is 0.728 eV per atom.

Lattice parameters (Å, degrees): 4.8370 4.8370 4.8370 60.00 60.00 60.00
Each line ends with the local moment (μB).
Element x y z (fractional)
P 0.3754 0.3754 0.3754  -0.01
Mn 0.0000 0.0000 0.0000  3.23
P 0.3754 0.3754 0.8739  -0.01
P 0.8739 0.3754 0.3754  -0.01
P 0.3754 0.8739 0.3754  -0.01
W 0.7500 0.7500 0.7500  -0.29



# 2
MnPW2 | GGA-PBEsol | relaxed

Computed properties:
The value obtained for the magnetic moment is 1.05 μB/cell. The total energy comes out at -0.7840 Ry per atom. Its symmetry is P2/m, No. 10. The crystal system is monoclinic. The value obtained for the formation energy is 0.126 eV per atom.

Lattice parameters (Å, degrees): 2.8646 3.3232 5.7606 90.00 99.18 90.00
Each line ends with the local moment (μB).
Element x y z (fractional)
W 0.0713 0.0000 0.2560  -0.10
Mn 0.5000 0.5000 0.0000  1.23
P 0.5000 0.5000 0.5000  0.01
W 0.9287 0.0000 0.7440  -0.10



# 3
YMn2P2 | GGA-PBEsol | relaxed

Computed properties:
The value obtained for the magnetic moment is 3.71 μB/cell. The total energy comes out at -0.6213 Ry per atom. Its symmetry is P-3m1, No. 164. The crystal system is trigonal. The value obtained for the formation energy is -0.867 eV per atom.

Lattice parameters (Å, degrees): 3.7599 3.7599 6.4169 90.00 90.00 120.00
Each line ends with the local moment (μB).
Element x y z (fractional)
Mn 0.3333 0.6667 0.6258  1.85
Y 0.0000 0.0000 0.0000  -0.01
Mn 0.6667 0.3333 0.3742  1.85
P 0.6667 0.3333 0.7226  -0.07
P 0.3333 0.6667 0.2774  -0.07



# 4
YMnP | GGA-PBEsol | relaxed

Computed properties:
The value obtained for the magnetic moment is 0.00 μB/cell. The total energy comes out at -0.5835 Ry per atom. Its symmetry is I4mm, No. 107. The crystal system is tetragonal. The value obtained for the formation energy is -0.481 eV per atom.

Lattice parameters (Å, degrees): 3.0379 3.0379 5.4792 106.09 106.09 90.00
Element x y z (fractional)
Mn 0.9615 0.9615 0.9231
Y 0.6664 0.6664 0.3329
P 0.3720 0.3720 0.7440



# 5
YMnP3 | GGA-PBEsol | relaxed

Computed properties:
The value obtained for the magnetic moment is 2.44 μB/cell. The total energy comes out at -0.5182 Ry per atom. Its symmetry is Pm-3m, No. 221. The crystal system is cubic. The value obtained for the formation energy is -0.259 eV per atom.

Lattice parameters (Å, degrees): 4.4521 4.4521 4.4521 90.00 90.00 90.00
Each line ends with the local moment (μB).
Element x y z (fractional)
P 0.0000 0.0000 0.5000  -0.01
P 0.5000 0.0000 0.0000  -0.01
P 0.0000 0.5000 0.0000  -0.01
Mn 0.0000 0.0000 0.0000  2.15
Y 0.5000 0.5000 0.5000  0.14



# 6
Y2Mn12P7 | GGA-PBEsol | relaxed

Computed properties:
The value obtained for the magnetic moment is 14.51 μB/cell. The total energy comes out at -0.6539 Ry per atom. Its symmetry is P-6, No. 174. The crystal system is hexagonal. The value obtained for the formation energy is -0.738 eV per atom.

Lattice parameters (Å, degrees): 3.5676 9.1181 9.1181 120.00 90.00 90.00
Each line ends with the local moment (μB).
Element x y z (fractional)
Mn 0.5000 0.8881 0.4533  2.15
Mn 0.5000 0.5652 0.1119  2.15
Mn 0.5000 0.0576 0.2887  1.56
P 0.0000 0.3769 0.9240  -0.06
P 0.5000 0.9487 0.7404  -0.04
P 0.0000 0.0760 0.4528  -0.06
Y 0.0000 0.0000 0.0000  -0.07
Mn 0.0000 0.2897 0.3813  1.39
Mn 0.5000 0.5467 0.4348  2.15
Mn 0.5000 0.7113 0.7689  1.56
P 0.5000 0.7917 0.0513  -0.04
Mn 0.0000 0.6187 0.9084  1.39
Mn 0.0000 0.8222 0.2127  -0.18
Mn 0.0000 0.7873 0.6095  -0.18
Y 0.5000 0.3333 0.6667  -0.05
Mn 0.5000 0.2311 0.9424  1.56
Mn 0.0000 0.0916 0.7103  1.39
P 0.0000 0.5472 0.6231  -0.06
P 0.5000 0.2596 0.2083  -0.04
P 0.0000 0.6667 0.3333  -0.03
Mn 0.0000 0.3905 0.1778  -0.18